(1)
Pm7Co2Bi2 | PBE-GGA | relaxed

Output
As for the crystal system: orthorhombic. The symmetry is Cmmm (65). The value obtained for the energy relative to the elements is -232 meV per atom. Its final energy is -5.25 eV/atom. For the volume, the calculation gives 30.68 Å³/atom.

a b c (Å): 7.0080 7.0080 7.1585
angles (deg): 90.00 90.00 106.29
Fractional positions:
1 Pm 0.0000 0.0000 0.0000
2 Pm 0.0000 0.5000 0.2393
3 Pm 0.0000 0.5000 0.7607
4 Pm 0.5000 0.0000 0.2393
5 Pm 0.5000 0.0000 0.7607
6 Pm 0.5000 0.5000 0.2232
7 Pm 0.5000 0.5000 0.7768
8 Co 0.2817 0.7183 0.0000
9 Co 0.7183 0.2817 0.0000
10 Bi 0.1945 0.1945 0.5000
11 Bi 0.8055 0.8055 0.5000

(2)
Hf2P2Pt | PBE-GGA | relaxed

Output
As for the crystal system: tetragonal. The symmetry is P4/mbm (127). The value obtained for the energy relative to the elements is -954 meV per atom. Its final energy is -8.31 eV/atom. For the volume, the calculation gives 16.52 Å³/atom.

a b c (Å): 6.8914 6.8914 3.4791
angles (deg): 90.00 90.00 90.00
Fractional positions:
1 Hf 0.1579 0.3421 0.0000
2 Hf 0.3421 0.8421 0.0000
3 Hf 0.6579 0.1579 0.0000
4 Hf 0.8421 0.6579 0.0000
5 P 0.1482 0.6482 0.5000
6 P 0.3518 0.1482 0.5000
7 P 0.6482 0.8518 0.5000
8 P 0.8518 0.3518 0.5000
9 Pt 0.0000 0.0000 0.5000
10 Pt 0.5000 0.5000 0.5000

(3)
HfSc3Bi | PBE-GGA | relaxed

Output
As for the crystal system: cubic. The symmetry is Pm-3m (221). The value obtained for the energy relative to the elements is 712 meV per atom. The distance to the lowest polymorph of the same formula is 106 meV/atom. Its final energy is -5.85 eV/atom. For the volume, the calculation gives 31.06 Å³/atom.

a b c (Å): 5.3751 5.3751 5.3751
angles (deg): 90.00 90.00 90.00
Fractional positions:
1 Hf 0.0000 0.0000 0.0000
2 Sc 0.0000 0.5000 0.5000
3 Sc 0.5000 0.0000 0.5000
4 Sc 0.5000 0.5000 0.0000
5 Bi 0.5000 0.5000 0.5000

(4)
ScGa4Ir2 | PBE-GGA | relaxed

Output
As for the crystal system: orthorhombic. The symmetry is Pnma (62). The value obtained for the energy relative to the elements is -574 meV per atom. Its final energy is -5.74 eV/atom. For the volume, the calculation gives 16.79 Å³/atom.

a b c (Å): 16.9354 4.1852 6.6316
angles (deg): 90.00 90.00 90.00
Fractional positions:
1 Sc 0.1419 0.2500 0.0213
2 Sc 0.3581 0.7500 0.5213
3 Sc 0.6419 0.2500 0.4787
4 Sc 0.8581 0.7500 0.9787
5 Ga 0.0380 0.7500 0.8565
6 Ga 0.0676 0.2500 0.4864
7 Ga 0.1853 0.7500 0.3191
8 Ga 0.1893 0.7500 0.7389
9 Ga 0.3107 0.2500 0.2389
10 Ga 0.3147 0.2500 0.8191
11 Ga 0.4324 0.7500 0.9864
12 Ga 0.4620 0.2500 0.3565
13 Ga 0.5380 0.7500 0.6435
14 Ga 0.5676 0.2500 0.0136
15 Ga 0.6853 0.7500 0.1809
16 Ga 0.6893 0.7500 0.7611
17 Ga 0.8107 0.2500 0.2611
18 Ga 0.8147 0.2500 0.6809
19 Ga 0.9324 0.7500 0.5136
20 Ga 0.9620 0.2500 0.1435
21 Ir 0.0378 0.7500 0.2420
22 Ir 0.2155 0.2500 0.5323
23 Ir 0.2845 0.7500 0.0323
24 Ir 0.4622 0.2500 0.7420
25 Ir 0.5378 0.7500 0.2580
26 Ir 0.7155 0.2500 0.9677
27 Ir 0.7845 0.7500 0.4677
28 Ir 0.9622 0.2500 0.7580

(5)
K2Si2As | PBE-GGA | relaxed

Output
As for the crystal system: tetragonal. The symmetry is P4/mbm (127). The energy relative to the elements, uncorrected is 0.11 eV per atom. Its final energy is -3.43 eV/atom. For the volume, the calculation gives 26.47 Å³/atom.

a b c (Å): 6.9878 6.9878 5.4209
angles (deg): 90.00 90.00 90.00
Fractional positions:
1 K 0.1931 0.3069 0.0000
2 K 0.3069 0.8069 0.0000
3 K 0.6931 0.1931 0.0000
4 K 0.8069 0.6931 0.0000
5 Si 0.1147 0.6147 0.5000
6 Si 0.3853 0.1147 0.5000
7 Si 0.6147 0.8853 0.5000
8 Si 0.8853 0.3853 0.5000
9 As 0.0000 0.0000 0.5000
10 As 0.5000 0.5000 0.5000

(6)
Pm12Sm5Er2 | PBE-GGA | relaxed

Output
As for the crystal system: monoclinic. The symmetry is C2/m (12). The value obtained for the energy relative to the elements is 115 meV per atom. The distance to the lowest polymorph of the same formula is 0 meV/atom. Its final energy is -4.61 eV/atom. For the volume, the calculation gives 34.34 Å³/atom.

a b c (Å): 9.2301 9.2301 8.8045
angles (deg): 92.44 92.44 60.55
Fractional positions:
1 Pm 0.0574 0.0574 0.3426
2 Pm 0.0653 0.6732 0.3180
3 Pm 0.1709 0.5330 0.7615
4 Pm 0.3268 0.9347 0.6820
5 Pm 0.4265 0.4265 0.1204
6 Pm 0.4670 0.8291 0.2385
7 Pm 0.5330 0.1709 0.7615
8 Pm 0.5735 0.5735 0.8796
9 Pm 0.6732 0.0653 0.3180
10 Pm 0.8291 0.4670 0.2385
11 Pm 0.9347 0.3268 0.6820
12 Pm 0.9426 0.9426 0.6574
13 Sm 0.2066 0.2066 0.0312
14 Sm 0.2682 0.2682 0.4325
15 Sm 0.5000 0.5000 0.5000
16 Sm 0.7318 0.7318 0.5675
17 Sm 0.7934 0.7934 0.9688
18 Er 0.1703 0.8297 0.0000
19 Er 0.8297 0.1703 0.0000

(7)
RbTlZnGeSe | PBE-GGA | relaxed

Output
As for the crystal system: triclinic. The symmetry is P1 (1). The energy relative to the elements, uncorrected is -0.25 eV per atom. The distance to the lowest polymorph of the same formula is 75 meV/atom. Its final energy is -2.79 eV/atom. For the volume, the calculation gives 31.72 Å³/atom.

a b c (Å): 4.5765 5.6326 6.6230
angles (deg): 107.35 102.30 91.09
Fractional positions:
1 Rb 0.0000 0.0000 0.0000
2 Tl 0.4684 0.3015 0.5844
3 Zn 0.4064 0.7748 0.4389
4 Ge 0.9064 0.6003 0.4388
5 Se 0.5421 0.5243 0.0666

(8)
Ce6PuAu | PBE-GGA | relaxed

Output
As for the crystal system: monoclinic. The symmetry is C2/c (15). The value obtained for the energy relative to the elements is -210 meV per atom. Its final energy is -6.86 eV/atom. For the volume, the calculation gives 27.39 Å³/atom.

a b c (Å): 6.3960 6.3960 11.0150
angles (deg): 92.43 92.43 76.89
Fractional positions:
1 Ce 0.0413 0.6077 0.2911
2 Ce 0.1055 0.8260 0.5871
3 Ce 0.1740 0.8945 0.9129
4 Ce 0.2914 0.3779 0.0108
5 Ce 0.3779 0.2914 0.5108
6 Ce 0.3923 0.9587 0.2089
7 Ce 0.6077 0.0413 0.7911
8 Ce 0.6221 0.7086 0.4892
9 Ce 0.7086 0.6221 0.9892
10 Ce 0.8260 0.1055 0.0871
11 Ce 0.8945 0.1740 0.4129
12 Ce 0.9587 0.3923 0.7089
13 Pu 0.0000 0.5000 0.5000
14 Pu 0.5000 0.0000 0.0000
15 Au 0.4579 0.5421 0.7500
16 Au 0.5421 0.4579 0.2500

(9)
Dy2Y5ErTm | PBE-GGA | relaxed

Output
As for the crystal system: tetragonal. The symmetry is I4/mcm (140). The value obtained for the energy relative to the elements is 295 meV per atom. Its final energy is -5.32 eV/atom. For the volume, the calculation gives 32.01 Å³/atom.

a b c (Å): 9.8495 9.8495 9.8495
angles (deg): 128.01 128.01 76.61
Fractional positions:
1 Dy 0.1167 0.6167 0.7334
2 Dy 0.3833 0.1167 0.5000
3 Dy 0.6167 0.8833 0.5000
4 Dy 0.8833 0.3833 0.2666
5 Y 0.0000 0.0000 0.0000
6 Y 0.0696 0.1548 0.5000
7 Y 0.1548 0.6548 0.0852
8 Y 0.3452 0.4304 0.5000
9 Y 0.4304 0.9304 0.0852
10 Y 0.5000 0.5000 0.0000
11 Y 0.5696 0.0696 0.9148
12 Y 0.6548 0.5696 0.5000
13 Y 0.8452 0.3452 0.9148
14 Y 0.9304 0.8452 0.5000
15 Er 0.2500 0.7500 0.5000
16 Er 0.7500 0.2500 0.5000
17 Tm 0.2500 0.2500 0.0000
18 Tm 0.7500 0.7500 0.0000

(10)
InNiRh | PBE-GGA | relaxed

Output
As for the crystal system: cubic. The symmetry is F-43m (216). The value obtained for the energy relative to the elements is 53 meV per atom. The distance to the lowest polymorph of the same formula is 153 meV/atom. Its final energy is -5.24 eV/atom. For the volume, the calculation gives 17.10 Å³/atom.

a b c (Å): 4.1706 4.1706 4.1706
angles (deg): 60.00 60.00 60.00
Fractional positions:
1 In 0.0000 0.0000 0.0000
2 Ni 0.7500 0.7500 0.7500
3 Rh 0.5000 0.5000 0.5000